# 1
Here is a geometry-optimized TaOs2Cl structure from Alexandria via LeMat-Bulk. Energies are from PBE.

Lattice parameters (Å, degrees): 4.6488 4.6488 2.9937 90.00 90.00 101.00
With the nearest neighbours (Å) after each atom.
Element x y z (fractional)
Cl  0.0000  0.5000  0.5000  8 Os 2.76, 2 Ta 2.96, 2 Cl 2.99
Os  0.0000  0.0000  0.0000  4 Ta 2.76, 4 Cl 2.76, 4 Os 2.96-2.99
Os  0.5000  0.5000  0.0000  4 Cl 2.76, 4 Ta 2.76, 4 Os 2.96-2.99
Ta  0.5000  0.0000  0.5000  8 Os 2.76, 2 Cl 2.96, 2 Ta 2.99

Computed properties:
Calculated volume in Å³ per atom: 15.9
Excess energy over the best structure of this formula in the dataset in meV per atom: 788
Symmetry: Cmmm
Formation energy (no corrections) in kJ per mole of atoms: 94.5

---

# 2
Here is a geometry-optimized TaOs2Cl structure from Alexandria via LeMat-Bulk. Energies are from PBE.

Lattice parameters (Å, degrees): 4.8796 4.8796 4.8796 131.55 131.55 70.94
With the nearest neighbours (Å) after each atom.
Element x y z (fractional)
Cl  0.7500  0.2500  0.5000  8 Os 2.82, 4 Ta 2.83
Os  0.0000  0.0000  0.0000  4 Ta 2.82, 4 Cl 2.82, 4 Os 2.83
Os  0.5000  0.5000  0.0000  4 Ta 2.82, 4 Cl 2.82, 4 Os 2.83
Ta  0.2500  0.7500  0.5000  8 Os 2.82, 4 Cl 2.83

Computed properties:
Calculated volume in Å³ per atom: 15.9
Excess energy over the best structure of this formula in the dataset in meV per atom: 739
Symmetry: I4/mmm
Formation energy (no corrections) in kJ per mole of atoms: 89.8

---

# 3
Here is a geometry-optimized TaOs2Cl structure from Alexandria via LeMat-Bulk. Energies are from PBE.

Lattice parameters (Å, degrees): 3.0343 4.5757 4.5757 90.00 90.00 90.00
With the nearest neighbours (Å) after each atom.
Element x y z (fractional)
Cl  0.5000  0.0000  0.5000  8 Os 2.75, 2 Cl 3.03
Os  0.0000  0.0000  0.0000  4 Cl 2.75, 4 Ta 2.75, 2 Os 3.03
Os  0.0000  0.5000  0.5000  4 Ta 2.75, 4 Cl 2.75, 2 Os 3.03
Ta  0.5000  0.5000  0.0000  8 Os 2.75, 2 Ta 3.03

Computed properties:
Calculated volume in Å³ per atom: 15.9
Excess energy over the best structure of this formula in the dataset in meV per atom: 805
Symmetry: P4/mmm
Formation energy (no corrections) in kJ per mole of atoms: 96.2

---

Copy entry 3 word for word.
Here is a geometry-optimized TaOs2Cl structure from Alexandria via LeMat-Bulk. Energies are from PBE.

Lattice parameters (Å, degrees): 3.0343 4.5757 4.5757 90.00 90.00 90.00
With the nearest neighbours (Å) after each atom.
Element x y z (fractional)
Cl  0.5000  0.0000  0.5000  8 Os 2.75, 2 Cl 3.03
Os  0.0000  0.0000  0.0000  4 Cl 2.75, 4 Ta 2.75, 2 Os 3.03
Os  0.0000  0.5000  0.5000  4 Ta 2.75, 4 Cl 2.75, 2 Os 3.03
Ta  0.5000  0.5000  0.0000  8 Os 2.75, 2 Ta 3.03

Computed properties:
Calculated volume in Å³ per atom: 15.9
Excess energy over the best structure of this formula in the dataset in meV per atom: 805
Symmetry: P4/mmm
Formation energy (no corrections) in kJ per mole of atoms: 96.2

---

What is the excess energy over the best structure of this formula in the dataset in the second record? 739 meV per atom